A relaxed structure of LiCoHgW, computed with PBE.

## Properties
V, Å³ per cell: 239.6
E above lowest polymorph, meV/atom: 198
DFT total energy, eV/atom: -5.01

abc: 6.211 6.211 6.211
angles: 90.00 90.00 90.00
Space group F-43m (No. 216)
One atom of each set of equivalent atoms:
Li1 0.000 0.000 0.000 x4
Co1 0.250 0.250 0.750 x4
Hg1 0.250 0.250 0.250 x4
W1 0.000 0.000 0.500 x4